VASP calculation (PBE-GGA) on a relaxed Nd4InGe4Pd2 crystal.

Geometry as CIF:
```
data_Nd4InGe4Pd2
_cell_length_a 16.279
_cell_length_b 4.429
_cell_length_c 7.346
_cell_angle_alpha 90.00
_cell_angle_beta 108.38
_cell_angle_gamma 90.00
_symmetry_space_group_name_H-M 'C 1 2/m 1'
_symmetry_Int_Tables_number 12
loop_
_symmetry_equiv_pos_as_xyz
'x,y,z'
'-x,-y,-z'
'-x,y,-z'
'x,-y,z'
'x+1/2,y+1/2,z'
'-x+1/2,-y+1/2,-z'
'-x+1/2,y+1/2,-z'
'x+1/2,-y+1/2,z'
loop_
_atom_site_label
_atom_site_fract_x
_atom_site_fract_y
_atom_site_fract_z
Nd1 0.091 0.000 0.388
Nd2 0.155 0.000 0.930
In1 0.000 0.500 0.000
Ge1 0.059 0.500 0.660
Ge2 0.199 0.500 0.263
Pd1 0.215 0.500 0.649
```

Properties
E_tot, eV/atom: -5.4570

VASP calculation (PBE-GGA) on a relaxed CsZnB4 crystal.

Geometry as CIF:
```
data_CsZnB4
_cell_length_a 3.1530
_cell_length_b 3.1530
_cell_length_c 8.9210
_cell_angle_alpha 90.00
_cell_angle_beta 90.00
_cell_angle_gamma 120.00
_symmetry_space_group_name_H-M 'P 6/m m m'
_symmetry_Int_Tables_number 191
_symmetry_space_group_name_Hall '-P 6 2'
loop_
_atom_site_label
_atom_site_fract_x
_atom_site_fract_y
_atom_site_fract_z
Cs1 0.0000 0.0000 0.0000
Zn1 0.0000 0.0000 0.5000
B1 0.3333 0.6667 0.3154
```

Properties
E above lowest polymorph, kJ/mol of formula units: 0
E_tot, eV/atom: -4.2251

VASP calculation (PBE-GGA) on a relaxed SmGdGe2Os2 crystal.

Geometry as CIF:
```
data_SmGdGe2Os2
_cell_length_a 4.244
_cell_length_b 4.244
_cell_length_c 6.861
_cell_angle_alpha 90.00
_cell_angle_beta 90.00
_cell_angle_gamma 90.00
_symmetry_space_group_name_H-M 'P 4 m m'
_symmetry_Int_Tables_number 99
loop_
_symmetry_equiv_pos_as_xyz
'x,y,z'
'-y,x,z'
'-x,-y,z'
'y,-x,z'
'-x,y,z'
'y,x,z'
'x,-y,z'
'-y,-x,z'
loop_
_atom_site_label
_atom_site_fract_x
_atom_site_fract_y
_atom_site_fract_z
Sm1 0.000 0.000 0.000
Gd1 0.500 0.500 0.366
Ge1 0.000 0.000 0.474
Ge2 0.500 0.500 0.884
Os1 0.000 0.500 0.679
```

Properties
E_tot, eV/atom: -7.3328

VASP calculation (PBE-GGA) on a relaxed Rb2ZrInF6 crystal.

Geometry as CIF:
```
data_Rb2ZrInF6
_cell_length_a 6.179
_cell_length_b 6.179
_cell_length_c 9.271
_cell_angle_alpha 90.00
_cell_angle_beta 90.00
_cell_angle_gamma 90.00
_symmetry_space_group_name_H-M 'I 4/m'
_symmetry_Int_Tables_number 87
_symmetry_space_group_name_Hall '-I 4'
loop_
_atom_site_label
_atom_site_fract_x
_atom_site_fract_y
_atom_site_fract_z
Rb1 0.000 0.500 0.250
Zr1 0.000 0.000 0.000
In1 0.000 0.000 0.500
F1 0.000 0.000 0.231
F2 0.138 0.309 0.000
```

Properties
E above lowest polymorph, kJ/mol of formula units: 0
E_tot, eV/atom: -5.1296

VASP calculation (PBE-GGA) on a relaxed Y3Mg3GaCuHg crystal.

Geometry as CIF:
```
data_Y3Mg3GaCuHg
_cell_length_a 7.4639
_cell_length_b 7.4639
_cell_length_c 4.2840
_cell_angle_alpha 90.00
_cell_angle_beta 90.00
_cell_angle_gamma 120.00
_symmetry_space_group_name_H-M 'P -6'
_symmetry_Int_Tables_number 174
loop_
_symmetry_equiv_pos_as_xyz
'x,y,z'
'-x+y,-x,-z'
'-y,x-y,z'
'x,y,-z'
'-x+y,-x,z'
'-y,x-y,-z'
loop_
_atom_site_label
_atom_site_fract_x
_atom_site_fract_y
_atom_site_fract_z
Y1 0.0127 0.5973 0.0000
Mg1 0.0012 0.2393 0.5000
Ga1 0.3333 0.6667 0.5000
Cu1 0.0000 0.0000 0.0000
Hg1 0.6667 0.3333 0.5000
```

Properties
E_tot, eV/atom: -3.8530

VASP calculation (PBE-GGA) on a relaxed KLuFeS3 crystal.

Geometry as CIF:
```
data_KLuFeS3
_cell_length_a 14.519
_cell_length_b 3.871
_cell_length_c 10.451
_cell_angle_alpha 90.00
_cell_angle_beta 90.00
_cell_angle_gamma 90.00
_symmetry_space_group_name_H-M 'P n m a'
_symmetry_Int_Tables_number 62
loop_
_symmetry_equiv_pos_as_xyz
'x,y,z'
'-x,-y,-z'
'-x+1/2,-y,z+1/2'
'x+1/2,y,-z+1/2'
'x+1/2,-y+1/2,-z+1/2'
'-x+1/2,y+1/2,z+1/2'
'-x,y+1/2,-z'
'x,-y+1/2,z'
loop_
_atom_site_label
_atom_site_fract_x
_atom_site_fract_y
_atom_site_fract_z
K1 0.235 0.250 0.037
Lu1 0.015 0.250 0.345
Fe1 0.011 0.750 0.087
S1 0.081 0.750 0.885
S2 0.095 0.250 0.571
S3 0.121 0.750 0.242
```

Properties
E above lowest polymorph, kJ/mol of formula units: 1
E_tot, eV/atom: -5.7288

VASP calculation (PBE-GGA) on a relaxed AcGa6Cu crystal.

Geometry as CIF:
```
data_AcGa6Cu
_cell_length_a 4.492
_cell_length_b 4.492
_cell_length_c 7.799
_cell_angle_alpha 90.00
_cell_angle_beta 90.00
_cell_angle_gamma 90.00
_symmetry_space_group_name_H-M 'P 4/m m m'
_symmetry_Int_Tables_number 123
_symmetry_space_group_name_Hall '-P 4 2'
loop_
_atom_site_label
_atom_site_fract_x
_atom_site_fract_y
_atom_site_fract_z
Ac1 0.000 0.000 0.000
Ga1 0.000 0.500 0.334
Ga2 0.500 0.500 0.160
Cu1 0.000 0.000 0.500
```

Properties
E_tot, eV/atom: -3.6158

VASP calculation (PBE-GGA) on a relaxed CsHoCuTe3 crystal.

Geometry as CIF:
```
data_CsHoCuTe3
_cell_length_a 11.287
_cell_length_b 4.222
_cell_length_c 17.754
_cell_angle_alpha 90.00
_cell_angle_beta 90.00
_cell_angle_gamma 90.00
_symmetry_space_group_name_H-M 'P n m a'
_symmetry_Int_Tables_number 62
loop_
_symmetry_equiv_pos_as_xyz
'x,y,z'
'-x,-y,-z'
'-x+1/2,-y,z+1/2'
'x+1/2,y,-z+1/2'
'x+1/2,-y+1/2,-z+1/2'
'-x+1/2,y+1/2,z+1/2'
'-x,y+1/2,-z'
'x,-y+1/2,z'
loop_
_atom_site_label
_atom_site_fract_x
_atom_site_fract_y
_atom_site_fract_z
Cs1 0.243 0.250 0.005
Ho1 0.013 0.750 0.249
Cu1 0.239 0.750 0.779
Te1 0.054 0.750 0.868
Te2 0.074 0.250 0.367
Te3 0.236 0.250 0.686
```

Properties
E_tot, eV/atom: -4.0261

VASP calculation (PBE-GGA) on a relaxed Sr2Hg2Pb crystal.

Geometry as CIF:
```
data_Sr2Hg2Pb
_cell_length_a 5.728
_cell_length_b 5.728
_cell_length_c 10.835
_cell_angle_alpha 90.00
_cell_angle_beta 90.00
_cell_angle_gamma 90.00
_symmetry_space_group_name_H-M 'I 4/m m m'
_symmetry_Int_Tables_number 139
_symmetry_space_group_name_Hall '-I 4 2'
loop_
_atom_site_label
_atom_site_fract_x
_atom_site_fract_y
_atom_site_fract_z
Sr1 0.000 0.500 0.250
Hg1 0.000 0.000 0.125
Pb1 0.000 0.000 0.500
```

Properties
E above lowest polymorph, kJ/mol of formula units: 38
E_tot, eV/atom: -1.7906

VASP calculation (PBE-GGA) on a relaxed Pr2NiAgBi4 crystal.

Geometry as CIF:
```
data_Pr2NiAgBi4
_cell_length_a 4.658
_cell_length_b 4.658
_cell_length_c 10.022
_cell_angle_alpha 90.00
_cell_angle_beta 90.00
_cell_angle_gamma 90.00
_symmetry_space_group_name_H-M 'P -4 m 2'
_symmetry_Int_Tables_number 115
loop_
_symmetry_equiv_pos_as_xyz
'x,y,z'
'y,-x,-z'
'-x,-y,z'
'-y,x,-z'
'-x,y,z'
'-y,-x,-z'
'x,-y,z'
'y,x,-z'
loop_
_atom_site_label
_atom_site_fract_x
_atom_site_fract_y
_atom_site_fract_z
Pr1 0.000 0.500 0.236
Ni1 0.000 0.000 0.000
Ag1 0.500 0.500 0.000
Bi1 0.000 0.000 0.500
Bi2 0.000 0.500 0.838
Bi3 0.500 0.500 0.500
```

Properties
E_tot, eV/atom: -4.7514

VASP calculation (PBE-GGA) on a relaxed Nb3SnS6 crystal.

Geometry as CIF:
```
data_Nb3SnS6
_cell_length_a 5.8232
_cell_length_b 5.8232
_cell_length_c 14.5175
_cell_angle_alpha 90.00
_cell_angle_beta 90.00
_cell_angle_gamma 120.00
_symmetry_space_group_name_H-M 'P 63/m c m'
_symmetry_Int_Tables_number 193
_symmetry_space_group_name_Hall '-P 6c 2'
loop_
_atom_site_label
_atom_site_fract_x
_atom_site_fract_y
_atom_site_fract_z
Nb1 0.0000 0.0000 0.2500
Nb2 0.3333 0.6667 0.2500
Sn1 0.0000 0.0000 0.0000
S1 0.0000 0.3356 0.1419
```

Properties
E_tot, eV/atom: -6.9391

VASP calculation (PBE-GGA) on a relaxed La2SmMg3Ir2Pt crystal.

Geometry as CIF:
```
data_La2SmMg3Ir2Pt
_cell_length_a 4.128
_cell_length_b 13.094
_cell_length_c 7.479
_cell_angle_alpha 90.00
_cell_angle_beta 90.00
_cell_angle_gamma 90.00
_symmetry_space_group_name_H-M 'A m m 2'
_symmetry_Int_Tables_number 38
loop_
_symmetry_equiv_pos_as_xyz
'x,y,z'
'-x,-y,z'
'-x,y,z'
'x,-y,z'
'x,y+1/2,z+1/2'
'-x,-y+1/2,z+1/2'
'-x,y+1/2,z+1/2'
'x,-y+1/2,z+1/2'
loop_
_atom_site_label
_atom_site_fract_x
_atom_site_fract_y
_atom_site_fract_z
La1 0.000 0.209 0.000
Sm1 0.000 0.000 0.625
Mg1 0.500 0.000 0.966
Mg2 0.500 0.119 0.333
Ir1 0.500 0.166 0.712
Pt1 0.000 0.000 0.216
```

Properties
E_tot, eV/atom: -5.5165

VASP calculation (PBE-GGA) on a relaxed SnPt15 crystal.

Geometry as CIF:
```
data_SnPt15
_cell_length_a 7.916
_cell_length_b 2.807
_cell_length_c 36.309
_cell_angle_alpha 90.00
_cell_angle_beta 90.07
_cell_angle_gamma 90.00
_symmetry_space_group_name_H-M 'P 1 21/m 1'
_symmetry_Int_Tables_number 11
loop_
_symmetry_equiv_pos_as_xyz
'x,y,z'
'-x,-y,-z'
'-x,y+1/2,-z'
'x,-y+1/2,z'
loop_
_atom_site_label
_atom_site_fract_x
_atom_site_fract_y
_atom_site_fract_z
Sn1 0.125 0.250 0.298
Pt1 0.114 0.250 0.744
Pt2 0.118 0.250 0.826
Pt3 0.124 0.250 0.903
Pt4 0.125 0.250 0.135
Pt5 0.125 0.250 0.215
Pt6 0.126 0.250 0.057
Pt7 0.126 0.250 0.980
Pt8 0.363 0.750 0.256
Pt9 0.368 0.750 0.175
Pt10 0.373 0.750 0.097
Pt11 0.375 0.750 0.716
Pt12 0.375 0.750 0.790
Pt13 0.375 0.750 0.864
Pt14 0.376 0.750 0.019
Pt15 0.376 0.750 0.941
```

Properties
E above lowest polymorph, kJ/mol of formula units: 92
E_tot, eV/atom: -5.8825

VASP calculation (PBE-GGA) on a relaxed TbTlZnTe3 crystal.

Geometry as CIF:
```
data_TbTlZnTe3
_cell_length_a 9.044
_cell_length_b 4.636
_cell_length_c 17.709
_cell_angle_alpha 90.00
_cell_angle_beta 90.00
_cell_angle_gamma 90.00
_symmetry_space_group_name_H-M 'P n m a'
_symmetry_Int_Tables_number 62
loop_
_symmetry_equiv_pos_as_xyz
'x,y,z'
'-x,-y,-z'
'-x+1/2,-y,z+1/2'
'x+1/2,y,-z+1/2'
'x+1/2,-y+1/2,-z+1/2'
'-x+1/2,y+1/2,z+1/2'
'-x,y+1/2,-z'
'x,-y+1/2,z'
loop_
_atom_site_label
_atom_site_fract_x
_atom_site_fract_y
_atom_site_fract_z
Tb1 0.244 0.250 0.045
Tl1 0.065 0.250 0.791
Zn1 0.128 0.250 0.356
Te1 0.003 0.750 0.414
Te2 0.126 0.750 0.946
Te3 0.207 0.250 0.213
```

Properties
E above lowest polymorph, kJ/mol of formula units: 69
E_tot, eV/atom: -3.6695

VASP calculation (PBE-GGA) on a relaxed Cu5Ag4 crystal.

Geometry as CIF:
```
data_Cu5Ag4
_cell_length_a 14.207
_cell_length_b 2.799
_cell_length_c 6.625
_cell_angle_alpha 90.00
_cell_angle_beta 91.56
_cell_angle_gamma 90.00
_symmetry_space_group_name_H-M 'C 1 2/m 1'
_symmetry_Int_Tables_number 12
loop_
_symmetry_equiv_pos_as_xyz
'x,y,z'
'-x,-y,-z'
'-x,y,-z'
'x,-y,z'
'x+1/2,y+1/2,z'
'-x+1/2,-y+1/2,-z'
'-x+1/2,y+1/2,-z'
'x+1/2,-y+1/2,z'
loop_
_atom_site_label
_atom_site_fract_x
_atom_site_fract_y
_atom_site_fract_z
Cu1 0.000 0.000 0.000
Cu2 0.176 0.500 0.019
Cu3 0.222 0.000 0.336
Ag1 0.059 0.500 0.326
Ag2 0.120 0.000 0.690
```

Properties
E above lowest polymorph, kJ/mol of formula units: 49
Formation energy, eV per atom: 0.0972
E_tot, eV/atom: -3.2230

VASP calculation (PBE-GGA) on a relaxed MgNiI crystal.

Geometry as CIF:
```
data_MgNiI
_cell_length_a 4.8671
_cell_length_b 4.8671
_cell_length_c 3.6670
_cell_angle_alpha 90.00
_cell_angle_beta 90.00
_cell_angle_gamma 120.00
_symmetry_space_group_name_H-M 'P -6 m 2'
_symmetry_Int_Tables_number 187
_symmetry_space_group_name_Hall 'P -6 2'
loop_
_atom_site_label
_atom_site_fract_x
_atom_site_fract_y
_atom_site_fract_z
Mg1 0.0000 0.0000 0.0000
Ni1 0.3333 0.6667 0.0000
I1 0.6667 0.3333 0.0000
```

Properties
E_tot, eV/atom: -2.4245

VASP calculation (PBE-GGA) on a relaxed Ba2DyReO6 crystal.

Geometry as CIF:
```
data_Ba2DyReO6
_cell_length_a 8.380
_cell_length_b 8.380
_cell_length_c 8.380
_cell_angle_alpha 90.00
_cell_angle_beta 90.00
_cell_angle_gamma 90.00
_symmetry_space_group_name_H-M 'F m -3 m'
_symmetry_Int_Tables_number 225
_symmetry_space_group_name_Hall '-F 4 2 3'
loop_
_atom_site_label
_atom_site_fract_x
_atom_site_fract_y
_atom_site_fract_z
Ba1 0.250 0.250 0.250
Dy1 0.000 0.000 0.000
Re1 0.000 0.000 0.500
O1 0.000 0.000 0.265
```

Properties
E_tot, eV/atom: -7.6746

VASP calculation (PBE-GGA) on a relaxed MgPdAu crystal.

Geometry as CIF:
```
data_MgPdAu
_cell_length_a 6.230
_cell_length_b 6.230
_cell_length_c 6.230
_cell_angle_alpha 90.00
_cell_angle_beta 90.00
_cell_angle_gamma 90.00
_symmetry_space_group_name_H-M 'F -4 3 m'
_symmetry_Int_Tables_number 216
_symmetry_space_group_name_Hall 'F -4 2 3'
loop_
_atom_site_label
_atom_site_fract_x
_atom_site_fract_y
_atom_site_fract_z
Mg1 0.000 0.000 0.000
Pd1 0.250 0.250 0.750
Au1 0.000 0.000 0.500
```

Properties
E above lowest polymorph, kJ/mol of formula units: 76
E_tot, eV/atom: -3.6618

VASP calculation (PBE-GGA) on a relaxed TbTm2AlCd3Ga2 crystal.

Geometry as CIF:
```
data_TbTm2AlCd3Ga2
_cell_length_a 4.413
_cell_length_b 12.538
_cell_length_c 7.204
_cell_angle_alpha 90.00
_cell_angle_beta 90.00
_cell_angle_gamma 90.00
_symmetry_space_group_name_H-M 'A m m 2'
_symmetry_Int_Tables_number 38
loop_
_symmetry_equiv_pos_as_xyz
'x,y,z'
'-x,-y,z'
'-x,y,z'
'x,-y,z'
'x,y+1/2,z+1/2'
'-x,-y+1/2,z+1/2'
'-x,y+1/2,z+1/2'
'x,-y+1/2,z+1/2'
loop_
_atom_site_label
_atom_site_fract_x
_atom_site_fract_y
_atom_site_fract_z
Tb1 0.000 0.000 0.000
Tm1 0.000 0.217 0.350
Al1 0.000 0.000 0.564
Cd1 0.500 0.000 0.320
Cd2 0.500 0.124 0.690
Ga1 0.500 0.168 0.067
```

Properties
E_tot, eV/atom: -3.3683

VASP calculation (PBE-GGA) on a relaxed Tb2CoSi2MoC crystal.

Geometry as CIF:
```
data_Tb2CoSi2MoC
_cell_length_a 10.960
_cell_length_b 3.903
_cell_length_c 6.988
_cell_angle_alpha 90.00
_cell_angle_beta 128.27
_cell_angle_gamma 90.00
_symmetry_space_group_name_H-M 'C 1 m 1'
_symmetry_Int_Tables_number 8
loop_
_symmetry_equiv_pos_as_xyz
'x,y,z'
'x,-y,z'
'x+1/2,y+1/2,z'
'x+1/2,-y+1/2,z'
loop_
_atom_site_label
_atom_site_fract_x
_atom_site_fract_y
_atom_site_fract_z
Tb1 0.000 0.000 0.000
Tb2 0.134 0.000 0.595
Co1 0.363 0.000 0.206
Si1 0.228 0.500 0.997
Si2 0.433 0.000 0.612
Mo1 0.265 0.500 0.385
C1 0.058 0.500 0.291
```

Properties
E_tot, eV/atom: -7.3549